1.
Below is a geometry-optimized La3HoF structure, with properties calculated at the PBE-GGA level.

a = 5.2581 Å, b = 5.2581 Å, c = 5.2581 Å
α = 90.00°, β = 90.00°, γ = 90.00°
Atoms (fractional coordinates):
La 0.5000 0.0000 0.0000
La 0.0000 0.5000 0.0000
La 0.0000 0.0000 0.5000
Ho 0.5000 0.5000 0.5000
F 0.0000 0.0000 0.0000

Results
* electronic total energy: -26.3 eV/cell
* total magnetic moment: 0.00 μB/f.u.

---

2.
Below is a geometry-optimized LaHo2F11 structure, with properties calculated at the PBE-GGA level.

a = 8.4054 Å, b = 8.8686 Å, c = 8.8686 Å
α = 71.15°, β = 61.71°, γ = 61.71°
Each line ends with the local moment (μB).
Atoms (fractional coordinates):
F 0.5000 0.5000 0.5000  0.41
F 0.0000 0.0000 0.0000  0.41
F 0.2546 0.3141 0.9620  0.13
F 0.4142 0.7930 0.9499  0.13
F 0.2454 0.5380 0.1859  0.13
F 0.9142 0.4499 0.2930  0.13
F 0.9692 0.8141 0.4620  0.13
F 0.6570 0.7070 0.5501  0.13
F 0.3894 0.6977 0.3023  0.25
F 0.5308 0.0380 0.6859  0.13
F 0.3430 0.2930 0.4499  0.13
F 0.7454 0.6859 0.0380  0.13
F 0.7546 0.4620 0.8141  0.13
F 0.5858 0.2070 0.0501  0.13
F 0.0858 0.5501 0.7070  0.13
F 0.1570 0.0501 0.2070  0.13
F 0.8894 0.8023 0.1977  0.25
F 0.4692 0.9620 0.3141  0.13
F 0.1106 0.1977 0.8023  0.25
F 0.8430 0.9499 0.7930  0.13
F 0.6106 0.3023 0.6977  0.25
F 0.0308 0.1859 0.5380  0.13
Ho 0.1552 0.8117 0.1883  -0.02
Ho 0.8448 0.1883 0.8117  -0.02
Ho 0.3448 0.3117 0.6883  -0.02
Ho 0.6552 0.6883 0.3117  -0.02
La 0.2500 0.2500 0.2500  -0.01
La 0.7500 0.7500 0.7500  -0.01

Results
* electronic total energy: -166.3 eV/cell
* total magnetic moment: 2.11 μB/f.u.

---

3.
Below is a geometry-optimized LiHo2F7 structure, with properties calculated at the PBE-GGA level.

a = 3.9248 Å, b = 3.9248 Å, c = 10.4691 Å
α = 79.20°, β = 79.20°, γ = 60.00°
Each line ends with the local moment (μB).
Atoms (fractional coordinates):
Li 0.5000 0.5000 0.5000  0.00
F 0.8593 0.8593 0.4220  0.05
F 0.5765 0.5765 0.2706  0.00
F 0.0000 0.0000 0.0000  0.00
F 0.1407 0.1407 0.5780  0.05
F 0.7228 0.7228 0.8315  0.00
F 0.4235 0.4235 0.7294  0.00
F 0.2772 0.2772 0.1685  0.00
Ho 0.9283 0.9283 0.2150  0.00
Ho 0.0717 0.0717 0.7850  0.00

Results
* electronic total energy: -62.5 eV/cell
* total magnetic moment: 0.13 μB/f.u.

---

4.
Below is a geometry-optimized LiHo2F8 structure, with properties calculated at the PBE-GGA level.

a = 3.8951 Å, b = 6.4995 Å, c = 6.8967 Å
α = 98.80°, β = 90.00°, γ = 107.44°
Each line ends with the local moment (μB).
Atoms (fractional coordinates):
F 0.5666 0.1332 0.7716  0.15
F 0.0894 0.1788 0.1357  0.26
F 0.9106 0.8212 0.8643  0.26
F 0.1920 0.3841 0.5420  0.01
F 0.8080 0.6159 0.4580  0.01
F 0.2634 0.5268 0.9005  0.03
F 0.4334 0.8668 0.2284  0.15
F 0.7366 0.4732 0.0995  0.03
Ho 0.7351 0.4703 0.7405  -0.01
Ho 0.2649 0.5297 0.2595  -0.01
Li 0.5000 0.0000 0.0000  0.00

Results
* energy above the most stable polymorph in this dataset: 0.0295 eV per atom
* electronic total energy: -63.6 eV/cell
* total magnetic moment: 1.04 μB/f.u.

---

5.
Below is a geometry-optimized LiHoF4 structure, with properties calculated at the PBE-GGA level.

a = 5.9446 Å, b = 5.9446 Å, c = 5.9446 Å
α = 108.11°, β = 108.11°, γ = 112.24°
Atoms (fractional coordinates):
Ho 0.7500 0.2500 0.5000
Ho 0.0000 0.0000 0.0000
F 0.0493 0.7340 0.6848
F 0.7007 0.8855 0.1848
F 0.0493 0.3645 0.3152
F 0.7007 0.5160 0.8152
F 0.2660 0.9507 0.3152
F 0.1145 0.2993 0.8152
F 0.6355 0.9507 0.6848
F 0.4840 0.2993 0.1848
Li 0.5000 0.5000 0.0000
Li 0.2500 0.7500 0.5000

Results
* electronic total energy: -73.2 eV/cell
* total magnetic moment: 0.00 μB/f.u.

---

6.
Below is a geometry-optimized LiHo2F8 structure, with properties calculated at the PBE-GGA level.

a = 3.7659 Å, b = 5.4148 Å, c = 7.2289 Å
α = 114.39°, β = 105.10°, γ = 90.00°
Each line ends with the local moment (μB).
Atoms (fractional coordinates):
Ho 0.1670 0.6685 0.3340  -0.01
Ho 0.8330 0.3315 0.6660  -0.01
F 0.5948 0.4103 0.1895  0.17
F 0.7838 0.6763 0.5677  0.11
F 0.6769 0.9471 0.3538  0.03
F 0.3231 0.0529 0.6462  0.03
F 0.9711 0.2272 0.9422  0.18
F 0.0289 0.7728 0.0578  0.18
F 0.4052 0.5897 0.8105  0.17
F 0.2162 0.3237 0.4323  0.11
Li 0.5000 0.0000 0.0000  0.00

Results
* energy above the most stable polymorph in this dataset: 0.0000 eV per atom
* electronic total energy: -63.9 eV/cell
* total magnetic moment: 1.04 μB/f.u.

---

D(E_F) (states/eV per atom)
1.164, 0.946, 0.000, 0.957, 0.000, 0.511
ΔE_f (raw) (eV/atom)
-1.015, -3.464, -3.832, -3.413, -3.772, -3.442